Ta2MnPF, relaxed, DFT GGA+U; VASP energy = -37.14 eV/cell; space group = P4/mmm
1.0
4.135 0.000 0.000
0.000 4.135 0.000
0.000 0.000 4.888
Ta Mn P F
2 1 1 1
Cartesian
0.000 2.067 0.000
2.067 0.000 0.000
0.000 0.000 2.444
2.067 2.067 2.444
2.067 2.067 0.000